(1)
Material: CdTe4Mo
Method: DFT, PBE-GGA
State: optimized geometry

Computed properties:
Formation energy from raw total energies: 910.4 meV/atom
Density of states at the Fermi level: 0.4304 states/eV per atom
Density: 6.59 g/cm3
Symmetry: F-43m, No. 216

Unit cell a=6.3521 b=6.3521 c=6.3521 alpha=60.00 beta=60.00 gamma=60.00
Sites, in units of the cell vectors:
Cd (0.0000, 0.0000, 0.0000)
Te (0.3753, 0.3753, 0.3753)
Te (0.3753, 0.3753, 0.8741)
Te (0.3753, 0.8741, 0.3753)
Te (0.8741, 0.3753, 0.3753)
Mo (0.7500, 0.7500, 0.7500)

(2)
Material: Cd4TeMo
Method: DFT, PBE-GGA
State: optimized geometry

Computed properties:
Formation energy from raw total energies: 579.2 meV/atom
Density of states at the Fermi level: 0.7709 states/eV per atom
Density: 8.42 g/cm3
Symmetry: F-43m, No. 216

Unit cell a=5.7259 b=5.7259 c=5.7259 alpha=60.00 beta=60.00 gamma=60.00
Sites, in units of the cell vectors:
Cd (0.1242, 0.1242, 0.1242)
Cd (0.1242, 0.1242, 0.6273)
Cd (0.1242, 0.6273, 0.1242)
Cd (0.6273, 0.1242, 0.1242)
Te (0.5000, 0.5000, 0.5000)
Mo (0.7500, 0.7500, 0.7500)

(3)
Material: Cd2TeMo
Method: DFT, PBE-GGA
State: optimized geometry

Computed properties:
Formation energy from raw total energies: 564.5 meV/atom
Density of states at the Fermi level: 0.8684 states/eV per atom
Density: 8.36 g/cm3
Symmetry: Pmmm, No. 47

Unit cell a=3.0063 b=4.3350 c=6.8323 alpha=90.00 beta=90.00 gamma=90.00
Sites, in units of the cell vectors:
Cd (0.0000, 0.0000, 0.2088)
Cd (0.0000, 0.0000, 0.7912)
Te (0.5000, 0.5000, 0.5000)
Mo (0.5000, 0.5000, 0.0000)

(4)
Material: Cd2TeMo
Method: DFT, PBE-GGA
State: optimized geometry

Computed properties:
Formation energy from raw total energies: 193.1 meV/atom
Density of states at the Fermi level: 0.6121 states/eV per atom
Density: 8.03 g/cm3
Symmetry: P4mm, No. 99

Unit cell a=3.2216 b=3.2216 c=8.9326 alpha=90.00 beta=90.00 gamma=90.00
Sites, in units of the cell vectors:
Cd (0.0000, 0.0000, 0.0000)
Cd (0.5000, 0.5000, 0.2490)
Te (0.5000, 0.5000, 0.6417)
Mo (0.0000, 0.0000, 0.4662)